[1]
Entry from Alexandria via LeMat-Bulk: Tb2PmBi after structural relaxation (PBE).

Cell: 4.0729 4.0729 28.9081 Å, 90.00 90.00 120.00°
Last column: nearest neighbours and their distance in Å.
Space group R3m (No. 160, hexagonal axes)
Inequivalent atoms, fractional coordinates:
Tb 0.0000 0.0000 0.0000 x3  3 Bi 3.10
Tb 0.0000 0.0000 0.1941 x3  3 Bi 3.09
Pm 0.0000 0.0000 0.4308 x3  6 Tb 3.65-3.67, 6 Pm 4.07
Bi 0.0000 0.0000 0.5967 x3  6 Tb 3.09-3.10

## Properties
For the formation energy, the calculation gives -0.185 eV/atom. For the density of states at the Fermi level, the calculation gives 14.7 states/eV per cell. The value obtained for the polymorph energy (0 for the lowest one) is 26.1 kJ per mole of atoms.


[2]
Entry from Alexandria via LeMat-Bulk: NdDyYHo3 after structural relaxation (PBE).

Cell: 5.7519 11.6879 11.4896 Å, 90.00 90.00 90.00°
Last column: nearest neighbours and their distance in Å.
Space group Cmcm (No. 63)
Inequivalent atoms, fractional coordinates:
Nd 0.0000 0.0250 0.2500 x4  4 Ho 3.19-3.47, 1 Y 3.54
Dy 0.0000 0.5000 0.0000 x4  6 Ho 3.33-3.54, 2 Y 3.51
Y 0.0000 0.3275 0.2500 x4  2 Dy 3.51, 3 Nd 3.54-3.69, 9 Ho 3.59-3.86
Ho 0.0000 0.1741 0.5256 x8  3 Ho 3.34-3.43, 2 Nd 3.47-3.61, 2 Dy 3.54, 1 Y 3.64
Ho 0.0000 0.3559 0.7500 x4  2 Nd 3.19, 2 Dy 3.33, 2 Ho 3.34

## Properties
For the formation energy, the calculation gives 0.123 eV/atom. For the density of states at the Fermi level, the calculation gives 47.2 states/eV per cell.


[3]
Entry from Alexandria via LeMat-Bulk: CoNiOsN2 after structural relaxation (PBE).

Cell: 3.7307 3.7307 5.0148 Å, 90.00 90.00 90.00°
Last column: nearest neighbours and their distance in Å.
Space group P4/mmm (No. 123)
Inequivalent atoms, fractional coordinates:
Co 0.0000 0.0000 0.0000 x1  2 Os 2.51, 4 Ni 2.64
Ni 0.5000 0.5000 0.0000 x1  4 Co 2.64
Os 0.0000 0.0000 0.5000 x1  4 N 1.87
N 0.0000 0.5000 0.5000 x2  2 Os 1.87

## Properties
The formation energy from raw total energies is 28.03 kcal/mol of atoms. For the density of states at the Fermi level, the calculation gives 6.5 states/eV per cell.


[4]
Entry from Alexandria via LeMat-Bulk: Rh7Pb3O15 after structural relaxation (PBE).

Cell: 10.5590 10.5590 13.4967 Å, 90.00 90.00 120.00°
Last column: nearest neighbours and their distance in Å.
Space group P6_3/mcm (No. 193)
Inequivalent atoms, fractional coordinates:
Rh 0.0000 0.0000 0.0000 x2  6 O 2.05
Rh 0.0000 0.5000 0.0000 x6  6 O 2.04
Rh 0.1688 0.3376 0.0000 x12  6 O 2.02-2.05
Rh 0.3333 0.6667 0.1477 x8  6 O 2.04-2.10
Pb 0.0000 0.2697 0.2500 x6  4 O 2.37-2.43
Pb 0.0000 0.3959 0.7500 x6  6 O 2.43-2.71
O 0.0000 0.1691 0.5745 x12  3 Rh 2.05
O 0.0000 0.3339 0.0769 x12  3 Rh 2.04-2.05
O 0.1590 0.4932 0.5814 x24  3 Rh 2.02-2.04
O 0.1777 0.5220 0.2500 x12  2 Rh 2.10

## Properties
The formation energy from raw total energies is -19.56 kcal/mol of atoms. For the density of states at the Fermi level, the calculation gives 61.0 states/eV per cell.


[5]
Entry from Alexandria via LeMat-Bulk: LiGa2Hg2Br6 after structural relaxation (PBE).

Cell: 11.4043 8.1471 8.4900 Å, 90.00 119.89 90.00°
Last column: nearest neighbours and their distance in Å.
Space group C2/m (No. 12)
Inequivalent atoms, fractional coordinates:
Li 0.0000 0.0000 0.0000 x2  2 Br 2.63
Ga 0.0160 0.5000 0.6574 x4  3 Br 2.43-2.45, 1 Ga 2.51
Hg 0.1389 0.0000 0.6451 x4  1 Hg 2.89
Br 0.0861 0.2713 0.2709 x8  1 Ga 2.43
Br 0.2453 0.5000 0.9198 x4  1 Ga 2.45, 1 Li 2.63

## Properties
The formation energy from raw total energies is -15.38 kcal/mol of atoms. For the density of states at the Fermi level, the calculation gives 8.1 states/eV per cell.


[6]
Entry from Alexandria via LeMat-Bulk: KBa2SnI after structural relaxation (PBE).

Cell: 6.5701 6.5701 6.1191 Å, 90.00 90.00 90.00°
Last column: nearest neighbours and their distance in Å.
Space group P4/mmm (No. 123)
Inequivalent atoms, fractional coordinates:
K 0.0000 0.0000 0.0000 x1  2 I 3.06
Ba 0.0000 0.5000 0.5000 x2  2 I 3.29
Sn 0.5000 0.5000 0.0000 x1  8 Ba 4.49, 4 K 4.65
I 0.0000 0.0000 0.5000 x1  2 K 3.06, 4 Ba 3.29

## Properties
The formation energy from raw total energies is -9.19 kcal/mol of atoms. For the density of states at the Fermi level, the calculation gives 1.9 states/eV per cell.


The following uncorrected energy values (in eV per atom) correspond, in order, to the records above: -4.658, -4.805, -6.938, -6.327, -2.359, -2.498.